# Y4Si2S3O7, single point on PBEsol structure, DFT SCAN
# - ΔE_f (raw): -3.205 eV/atom
# - Crystal system: tetragonal
# - Energy: -15.9490 eV/atom
data_Y4Si2S3O7
_symmetry_space_group_name_H-M 'P 1'
_symmetry_Int_Tables_number 1
_symmetry_space_group_name_Hall 'P 1'
_cell_length_a 10.6343
_cell_length_b 10.6343
_cell_length_c 10.6343
_cell_angle_alpha 113.86
_cell_angle_beta 113.86
_cell_angle_gamma 101.02
loop_
_atom_site_label
_atom_site_type_symbol
_atom_site_fract_x
_atom_site_fract_y
_atom_site_fract_z
_atom_site_occupancy
Y1 Y 0.0477 0.2977 0.0954 1
Y2 Y 0.0477 0.9523 0.7500 1
Y3 Y 0.1735 0.6589 0.5145 1
Y4 Y 0.2977 0.0477 0.5954 1
Y5 Y 0.2977 0.7023 0.2500 1
Y6 Y 0.3411 0.3556 0.5145 1
Y7 Y 0.3411 0.8265 0.9855 1
Y8 Y 0.3556 0.3411 0.0145 1
Y9 Y 0.6444 0.6589 0.9855 1
Y10 Y 0.6589 0.1735 0.0145 1
Y11 Y 0.6589 0.6444 0.4855 1
Y12 Y 0.7023 0.2977 0.7500 1
Y13 Y 0.7023 0.9523 0.4046 1
Y14 Y 0.8265 0.3411 0.4855 1
Y15 Y 0.9523 0.0477 0.2500 1
Y16 Y 0.9523 0.7023 0.9046 1
Si1 Si 0.0955 0.2204 0.6249 1
Si2 Si 0.0955 0.4706 0.8751 1
Si3 Si 0.2204 0.0955 0.1249 1
Si4 Si 0.4706 0.0955 0.3751 1
Si5 Si 0.5294 0.9045 0.6249 1
Si6 Si 0.7796 0.9045 0.8751 1
Si7 Si 0.9045 0.5294 0.1249 1
Si8 Si 0.9045 0.7796 0.3751 1
S1 S 0.0000 0.3542 0.3542 1
S2 S 0.0000 0.6458 0.6458 1
S3 S 0.1250 0.8750 0.2500 1
S4 S 0.3542 0.0000 0.8542 1
S5 S 0.3542 0.5000 0.3542 1
S6 S 0.3750 0.6250 0.7500 1
S7 S 0.5000 0.3542 0.8542 1
S8 S 0.5000 0.6458 0.1458 1
S9 S 0.6250 0.3750 0.2500 1
S10 S 0.6458 0.0000 0.1458 1
S11 S 0.6458 0.5000 0.6458 1
S12 S 0.8750 0.1250 0.7500 1
O1 O 0.0835 0.5675 0.2332 1
O2 O 0.0835 0.8503 0.5160 1
O3 O 0.1497 0.1657 0.2332 1
O4 O 0.1505 0.4005 0.7500 1
O5 O 0.1497 0.9165 0.9840 1
O6 O 0.1657 0.1497 0.7332 1
O7 O 0.1657 0.4325 0.0160 1
O8 O 0.1738 0.1900 0.5162 1
O9 O 0.1738 0.6576 0.9838 1
O10 O 0.1900 0.1738 0.0162 1
O11 O 0.3424 0.8262 0.5162 1
O12 O 0.4005 0.1505 0.2500 1
O13 O 0.4325 0.1657 0.5160 1
O14 O 0.4325 0.9165 0.2668 1
O15 O 0.5675 0.0835 0.7332 1
O16 O 0.5675 0.8343 0.4840 1
O17 O 0.5995 0.8495 0.7500 1
O18 O 0.6576 0.1738 0.4838 1
O19 O 0.8100 0.8262 0.9838 1
O20 O 0.8262 0.3424 0.0162 1
O21 O 0.8262 0.8100 0.4838 1
O22 O 0.8343 0.5675 0.9840 1
O23 O 0.8343 0.8503 0.2668 1
O24 O 0.8503 0.0835 0.0160 1
O25 O 0.8495 0.5995 0.2500 1
O26 O 0.8503 0.8343 0.7668 1
O27 O 0.9165 0.1497 0.4840 1
O28 O 0.9165 0.4325 0.7668 1